1.
PBE PaGaPO, optimized geometry; raw total energy = -6.30 eV per atom; space-group type = No. 129
1.0
5.4064 0.0000 0.0000
0.0000 5.4064 0.0000
0.0000 0.0000 4.6938
Pa Ga P O
2 2 2 2
Direct
0.2500 0.7500 0.0000 Pa
0.7500 0.2500 0.0000 Pa
0.2500 0.2500 0.4021 Ga
0.7500 0.7500 0.5979 Ga
0.2500 0.2500 0.8876 P
0.7500 0.7500 0.1124 P
0.2500 0.7500 0.5000 O
0.7500 0.2500 0.5000 O

2.
PBE SmTmAu, optimized geometry; raw total energy = -4.07 eV per atom; space-group type = No. 216; energy of formation from the pure elements = 0.08 eV/atom
1.0
6.8655 0.0000 0.0000
0.0000 6.8655 0.0000
0.0000 0.0000 6.8655
Sm Tm Au
4 4 4
Direct
0.0000 0.0000 0.0000 Sm
0.0000 0.5000 0.5000 Sm
0.5000 0.0000 0.5000 Sm
0.5000 0.5000 0.0000 Sm
0.2500 0.2500 0.7500 Tm
0.2500 0.7500 0.2500 Tm
0.7500 0.2500 0.2500 Tm
0.7500 0.7500 0.7500 Tm
0.0000 0.0000 0.5000 Au
0.0000 0.5000 0.0000 Au
0.5000 0.0000 0.0000 Au
0.5000 0.5000 0.5000 Au

3.
PBE NdDyAsO, optimized geometry; raw total energy = -6.54 eV per atom; space-group type = No. 129
1.0
4.3047 0.0000 0.0000
0.0000 4.3047 0.0000
0.0000 0.0000 9.2051
Nd Dy As O
2 2 2 2
Direct
0.2500 0.7500 0.0000 Nd
0.7500 0.2500 0.0000 Nd
0.2500 0.2500 0.4033 Dy
0.7500 0.7500 0.5967 Dy
0.2500 0.2500 0.7807 As
0.7500 0.7500 0.2193 As
0.2500 0.7500 0.5000 O
0.7500 0.2500 0.5000 O

4.
PBE Ba2InMoS6, optimized geometry; raw total energy = -5.20 eV per atom; space-group type = No. 225
1.0
0.0000 4.9684 4.9684
4.9684 0.0000 4.9684
4.9684 4.9684 0.0000
Ba In Mo S
2 1 1 6
Direct
0.2500 0.2500 0.2500 Ba
0.7500 0.7500 0.7500 Ba
0.0000 0.0000 0.0000 In
0.5000 0.5000 0.5000 Mo
0.2579 0.2579 0.7421 S
0.2579 0.7421 0.2579 S
0.2579 0.7421 0.7421 S
0.7421 0.2579 0.2579 S
0.7421 0.2579 0.7421 S
0.7421 0.7421 0.2579 S

5.
PBE Co8Re7, optimized geometry; raw total energy = -9.45 eV per atom; space-group type = No. 136; energy of formation from the pure elements = 0.14 eV/atom
1.0
8.8861 0.0000 0.0000
0.0000 8.8861 0.0000
0.0000 0.0000 4.8508
Co Re
16 14
Direct
0.0387 0.3712 0.0000 Co
0.0653 0.2682 0.5000 Co
0.1288 0.5387 0.5000 Co
0.2318 0.5653 0.0000 Co
0.2682 0.0653 0.5000 Co
0.3712 0.0387 0.0000 Co
0.4347 0.7682 0.0000 Co
0.4613 0.8712 0.5000 Co
0.5387 0.1288 0.5000 Co
0.5653 0.2318 0.0000 Co
0.6288 0.9613 0.0000 Co
0.7318 0.9347 0.5000 Co
0.7682 0.4347 0.0000 Co
0.8712 0.4613 0.5000 Co
0.9347 0.7318 0.5000 Co
0.9613 0.6288 0.0000 Co
0.0000 0.0000 0.5000 Re
0.1055 0.1055 0.0000 Re
0.1881 0.8119 0.2489 Re
0.1881 0.8119 0.7511 Re
0.3119 0.3119 0.2511 Re
0.3119 0.3119 0.7489 Re
0.3945 0.6055 0.5000 Re
0.5000 0.5000 0.0000 Re
0.6055 0.3945 0.5000 Re
0.6881 0.6881 0.2511 Re
0.6881 0.6881 0.7489 Re
0.8119 0.1881 0.2489 Re
0.8119 0.1881 0.7511 Re
0.8945 0.8945 0.0000 Re

6.
PBE Ho2Al2NiPt3, optimized geometry; raw total energy = -6.10 eV per atom; space-group type = No. 156
1.0
4.3017 0.0000 0.0000
-2.1508 3.7254 0.0000
0.0000 0.0000 9.1043
Ho Al Ni Pt
2 2 1 3
Direct
0.0000 0.0000 0.0000 Ho
0.3333 0.6667 0.4922 Ho
0.6667 0.3333 0.2443 Al
0.6667 0.3333 0.7475 Al
0.3333 0.6667 0.1689 Ni
0.0000 0.0000 0.3169 Pt
0.0000 0.0000 0.6621 Pt
0.3333 0.6667 0.8378 Pt